[1]
{"formula": "Tm4InNi", "functional": "PBE", "state": "relaxed", "lattice_angstrom": [[-5.1281, 1.0191, 7.8796], [-9.0093, -2.8678, 0.1820], [-2.4411, -7.6009, 5.0688]], "species": ["In", "In", "In", "In", "Tm", "Tm", "Tm", "Tm", "Tm", "Tm", "Tm", "Tm", "Tm", "Tm", "Tm", "Tm", "Tm", "Tm", "Tm", "Tm", "Ni", "Ni", "Ni", "Ni"], "fractional_positions": [[0.1669, 0.1669, 0.4994], [0.4994, 0.1669, 0.1669], [0.1669, 0.1669, 0.1669], [0.1669, 0.4994, 0.1669], [0.5626, 0.9374, 0.9374], [0.4020, 0.4020, 0.7940], [0.9374, 0.5626, 0.5626], [0.9374, 0.9374, 0.5626], [0.8124, 0.1876, 0.1876], [0.5626, 0.5626, 0.9374], [0.1876, 0.8124, 0.8124], [0.4020, 0.7940, 0.4020], [0.1876, 0.8124, 0.1876], [0.7940, 0.4020, 0.4020], [0.5626, 0.9374, 0.5626], [0.9374, 0.5626, 0.9374], [0.8124, 0.1876, 0.8124], [0.4020, 0.4020, 0.4020], [0.8124, 0.8124, 0.1876], [0.1876, 0.1876, 0.8124], [0.1776, 0.6075, 0.6075], [0.6075, 0.6075, 0.1776], [0.6075, 0.6075, 0.6075], [0.6075, 0.1776, 0.6075]], "ef_ev_per_atom": -0.382, "space_group": "F-43m", "polymorph_energy_mev_per_atom": 0.0}

[2]
{"formula": "Tm2In6Ni", "functional": "PBE", "state": "relaxed", "lattice_angstrom": [[-0.3602, -3.8947, 2.6003], [3.5264, -0.9549, -0.9418], [4.4794, 8.1193, 8.5398]], "species": ["In", "In", "In", "In", "In", "In", "Ni", "Tm", "Tm"], "fractional_positions": [[0.1065, 0.5000, 0.2130], [0.7070, 0.0000, 0.4140], [0.4570, 0.5000, 0.9141], [0.5822, 0.0000, 0.1644], [0.2243, 0.5000, 0.4486], [0.8852, 0.5000, 0.7705], [0.7833, 0.5000, 0.5665], [0.3276, 0.0000, 0.6553], [0.9958, 0.0000, 0.9916]], "ef_ev_per_atom": -0.205, "space_group": "Amm2"}

[3]
{"formula": "TmIn3Ni2", "functional": "PBE", "state": "relaxed", "lattice_angstrom": [[5.5662, -0.0232, -0.0255], [0.0274, 6.4537, 0.1438], [0.0274, -0.4654, 6.4385]], "species": ["In", "In", "In", "In", "In", "In", "Ni", "Ni", "Ni", "Ni", "Tm", "Tm"], "fractional_positions": [[0.2500, 0.0508, 0.0508], [0.2500, 0.5718, 0.9063], [0.7500, 0.0937, 0.4282], [0.2500, 0.9063, 0.5718], [0.7500, 0.4282, 0.0937], [0.7500, 0.9492, 0.9492], [0.0000, 0.7554, 0.2446], [0.0000, 0.2446, 0.7554], [0.5000, 0.7554, 0.2446], [0.5000, 0.2446, 0.7554], [0.7500, 0.5979, 0.5979], [0.2500, 0.4021, 0.4021]], "ef_ev_per_atom": -0.286, "space_group": "Cmcm", "polymorph_energy_mev_per_atom": 0.0}

[4]
{"formula": "TmIn2Ni9", "functional": "PBE", "state": "relaxed", "lattice_angstrom": [[4.8932, 0.0000, 0.0000], [2.4466, 4.2376, 0.0000], [2.4466, 1.4125, 7.9056]], "species": ["Ni", "Ni", "Ni", "Ni", "Ni", "Ni", "Ni", "Ni", "Ni", "Tm", "In", "In"], "fractional_positions": [[0.3338, 0.3338, 0.9985], [0.5000, 0.5000, 0.5000], [0.5848, 0.5848, 0.7498], [0.0806, 0.5848, 0.7498], [0.5848, 0.0806, 0.7498], [0.9194, 0.4152, 0.2502], [0.6662, 0.6662, 0.0015], [0.4152, 0.9194, 0.2502], [0.4152, 0.4152, 0.2502], [0.0000, 0.0000, 0.0000], [0.1398, 0.1398, 0.5807], [0.8602, 0.8602, 0.4193]], "ef_ev_per_atom": -0.213, "space_group": "R-3m", "polymorph_energy_mev_per_atom": 5.5}

[5]
{"formula": "Tm3In3Ni2", "functional": "PBE", "state": "relaxed", "lattice_angstrom": [[-0.5040, 4.1236, 1.2234], [-1.9020, -1.5142, 4.3203], [8.3582, -1.6394, 1.3042]], "species": ["Ni", "Ni", "Tm", "Tm", "Tm", "In", "In", "In"], "fractional_positions": [[0.7723, 0.8680, 0.5445], [0.2277, 0.1320, 0.4555], [0.8321, 0.4007, 0.6642], [0.1679, 0.5993, 0.3358], [0.0000, 0.0000, 0.0000], [0.3622, 0.9144, 0.7244], [0.6378, 0.0856, 0.2756], [0.5000, 0.5000, 0.0000]], "ef_ev_per_atom": -0.451, "space_group": "C2/m"}

[6]
{"formula": "Tm5InNi4", "functional": "PBE", "state": "relaxed", "lattice_angstrom": [[-0.1033, -1.7630, 2.8845], [1.7737, -2.4850, -1.4553], [14.7683, 7.5344, 5.1340]], "species": ["Ni", "Ni", "Ni", "Ni", "Tm", "Tm", "Tm", "Tm", "Tm", "In"], "fractional_positions": [[0.0000, 0.0000, 0.2161], [0.0000, 0.0000, 0.5936], [0.0000, 0.0000, 0.7839], [0.0000, 0.0000, 0.4064], [0.5000, 0.5000, 0.5000], [0.5000, 0.5000, 0.6886], [0.5000, 0.5000, 0.3114], [0.5000, 0.5000, 0.8751], [0.5000, 0.5000, 0.1249], [0.0000, 0.0000, 0.0000]], "ef_ev_per_atom": -0.448, "space_group": "P4/mmm"}

[7]
{"formula": "Tm3InNi", "functional": "PBE", "state": "relaxed", "lattice_angstrom": [[-1.6783, -2.1943, 2.4651], [1.7678, -6.9640, -4.9969], [7.7237, -3.5296, 2.1178]], "species": ["Ni", "Ni", "Tm", "Tm", "Tm", "Tm", "Tm", "Tm", "In", "In"], "fractional_positions": [[0.3639, 0.6942, 0.2463], [0.3643, 0.1943, 0.7464], [0.3627, 0.0061, 0.0583], [0.3627, 0.3823, 0.4344], [0.8632, 0.6105, 0.0735], [0.8636, 0.0212, 0.6628], [0.8632, 0.7777, 0.4194], [0.8636, 0.3671, 0.8301], [0.3630, 0.6941, 0.7465], [0.8622, 0.1940, 0.2465]], "ef_ev_per_atom": -0.266, "space_group": "Cmm2", "polymorph_energy_mev_per_atom": 57.4}

[8]
{"formula": "Tm3In4Ni2", "functional": "PBE", "state": "relaxed", "lattice_angstrom": [[-4.0152, -1.9434, 0.8456], [-1.4740, -4.0546, -4.1290], [1.7548, -7.4612, 3.3741]], "species": ["Tm", "Tm", "Tm", "Ni", "Ni", "In", "In", "In", "In"], "fractional_positions": [[0.0000, 0.0000, 0.0000], [0.3131, 0.7460, 0.6278], [0.6869, 0.2540, 0.3722], [0.4033, 0.9265, 0.2669], [0.5967, 0.0735, 0.7331], [0.0213, 0.3099, 0.6474], [0.7212, 0.6343, 0.9232], [0.2788, 0.3657, 0.0768], [0.9787, 0.6901, 0.3526]], "ef_ev_per_atom": -0.398, "space_group": "C2/m"}

[9]
{"formula": "Tm3InNi8", "functional": "PBE", "state": "relaxed", "lattice_angstrom": [[4.9875, 0.0000, 0.0000], [2.4937, 4.3193, 0.0000], [2.4937, 1.4398, 8.1895]], "species": ["Ni", "Ni", "Ni", "Ni", "Ni", "Ni", "Ni", "Ni", "Tm", "Tm", "Tm", "In"], "fractional_positions": [[0.9371, 0.9371, 0.6881], [0.9399, 0.4369, 0.1863], [0.6879, 0.6879, 0.9362], [0.4369, 0.9399, 0.1863], [0.1877, 0.1877, 0.4368], [0.4377, 0.9371, 0.6881], [0.9371, 0.4377, 0.6881], [0.4369, 0.4369, 0.1863], [0.5034, 0.5034, 0.4897], [0.9960, 0.9960, 0.0121], [0.3762, 0.3762, 0.8713], [0.8731, 0.8731, 0.3806]], "ef_ev_per_atom": -0.456, "space_group": "R3m"}

[10]
{"formula": "Tm3In4Ni4", "functional": "PBE", "state": "relaxed", "lattice_angstrom": [[-3.0713, 2.0025, 0.1485], [-0.1056, -0.7404, 7.8000], [5.6838, 5.6022, -3.3271]], "species": ["Ni", "Ni", "Ni", "Ni", "In", "In", "In", "In", "Tm", "Tm", "Tm"], "fractional_positions": [[0.7564, 0.2564, 0.5128], [0.5000, 0.8108, 0.0000], [0.2436, 0.7436, 0.4872], [0.5000, 0.1892, 0.0000], [0.6669, 0.8590, 0.3337], [0.3331, 0.1410, 0.6663], [0.3331, 0.5253, 0.6663], [0.6669, 0.4747, 0.3337], [0.8902, 0.8902, 0.7804], [0.0000, 0.5000, 0.0000], [0.1098, 0.1098, 0.2196]], "ef_ev_per_atom": -0.379, "space_group": "Immm"}

[11]
{"formula": "TmInNi2", "functional": "PBE", "state": "relaxed", "lattice_angstrom": [[3.3519, 0.0000, 0.0000], [0.0000, 4.5043, 0.0000], [0.0000, 0.0000, 4.5043]], "species": ["Ni", "Ni", "Tm", "In"], "fractional_positions": [[0.0000, 0.5000, 0.0000], [0.0000, 0.0000, 0.5000], [0.5000, 0.5000, 0.5000], [0.5000, 0.0000, 0.0000]], "ef_ev_per_atom": -0.300, "space_group": "P4/mmm"}

[12]
{"formula": "Tm3InNi", "functional": "PBE", "state": "relaxed", "lattice_angstrom": [[-3.7931, 2.4719, -2.5152], [-4.3984, -3.8723, -2.5048], [-7.1482, -0.0410, 5.4074]], "species": ["Tm", "Tm", "Tm", "Tm", "Tm", "Tm", "Ni", "Ni", "In", "In"], "fractional_positions": [[0.8546, 0.6217, 0.6692], [0.1206, 0.0124, 0.7463], [0.8794, 0.9876, 0.2537], [0.1454, 0.3783, 0.3308], [0.6240, 0.6759, 0.0760], [0.3760, 0.3241, 0.9240], [0.1192, 0.7237, 0.0380], [0.8808, 0.2763, 0.9620], [0.3996, 0.7600, 0.4409], [0.6004, 0.2400, 0.5591]], "ef_ev_per_atom": -0.324, "space_group": "C2/m", "polymorph_energy_mev_per_atom": 0.0}